(1)
DFT (PBE) results for a geometry-optimized Sm8Ho6Er structure.

Values from the calculation:
Energy above the most stable polymorph in this dataset in eV per atom: 0.000
E_form in eV/atom: 0.13
Calculated density in Mg/m³: 7.952
Total magnetic moment in μB per formula unit: 0.000
DOS at the Fermi energy in states/eV/cell: 69.21

abc: 9.0707 9.0707 20.7467
angles: 90.00 90.00 120.00
With the nearest neighbours (Å) after each atom.
Space group R-3 (No. 148, hexagonal axes)
Symmetry-distinct sites (fractional):
Sm  0.0000  0.0000  0.0774  4 Sm 3.21-3.43, 3 Ho 3.36
Sm  0.0814  0.5255  0.3070  3 Ho 3.41-3.81, 5 Sm 3.43-3.44, 1 Er 3.52
Ho  0.0513  0.8054  0.2060  3 Sm 3.36-3.44, 1 Er 3.47, 4 Ho 3.53-3.74
Er  0.0000  0.0000  0.5000  6 Ho 3.47, 6 Sm 3.52


(2)
DFT (PBE) results for a geometry-optimized ZrTl2Rh structure.

Values from the calculation:
E_form in eV/atom: -0.03
Calculated density in Mg/m³: 11.353
Total magnetic moment in μB per formula unit: 0.000
DOS at the Fermi energy in states/eV/cell: 4.21

abc: 11.4312 3.4759 4.9005
angles: 90.00 115.08 90.00
With the nearest neighbours (Å) after each atom.
Space group Cm (No. 8)
Symmetry-distinct sites (fractional):
Zr  0.0000  0.0000  0.0000  2 Rh 2.62
Tl  0.2186  0.0000  0.7201  4 Rh 3.02, 2 Tl 3.32-3.33, 2 Zr 3.32-3.35
Tl  0.4356  0.0000  0.4360  4 Zr 3.08, 2 Rh 3.08, 4 Tl 3.32-3.41
Rh  0.1899  0.5000  0.1909  2 Zr 2.62


(3)
DFT (PBE) results for a geometry-optimized TmScCuAg structure.

Values from the calculation:
Energy above the most stable polymorph in this dataset in eV per atom: 0.027
E_form in eV/atom: -0.26
Calculated density in Mg/m³: 7.859
Total magnetic moment in μB per formula unit: 0.000
DOS at the Fermi energy in states/eV/cell: 10.51

abc: 6.8799 6.8799 6.8799
angles: 90.00 90.00 90.00
With the nearest neighbours (Å) after each atom.
Space group F-43m (No. 216)
Symmetry-distinct sites (fractional):
Tm  0.0000  0.0000  0.0000  4 Cu 2.98, 4 Ag 2.98
Sc  0.0000  0.0000  0.5000  4 Ag 2.98, 4 Cu 2.98
Cu  0.2500  0.2500  0.7500  4 Tm 2.98, 4 Sc 2.98
Ag  0.2500  0.2500  0.2500  4 Tm 2.98, 4 Sc 2.98